ScIn2Ga2: relaxed, PBE.

Computed properties:
energy = -0.1321 Ha/atom
formation energy = -0.02 eV/atom
ρ = 6.06 g cm⁻³
M_tot = 0.00 μB per formula unit

Cell lengths 4.227, 4.227, 7.014 Å; angles 72.46, 72.46, 90.00 degrees
Sites, in units of the cell vectors:
Sc 0.000 0.000 0.000
Ga 0.405 0.405 0.190
Ga 0.595 0.595 0.810
In 0.750 0.250 0.500
In 0.250 0.750 0.500

NbFeCo2Au: relaxed, PBE.

Computed properties:
energy = -0.2329 Ha/atom
formation energy = 0.87 eV/atom
ρ = 9.27 g cm⁻³
M_tot = 4.67 μB per formula unit

Cell lengths 4.330, 4.430, 4.330 Å; angles 90.00, 90.00, 90.00 degrees
Last column: magnetic moment on the atom in μB.
Sites, in units of the cell vectors:
Co 0.000 0.000 0.500  2.14
Co 0.500 0.000 0.000  1.58
Nb 0.000 0.500 0.000  -0.29
Au 0.500 0.500 0.500  0.05
Fe 0.000 0.000 0.000  1.27

Tl2CuAs: relaxed, PBE.

Computed properties:
energy = -0.1106 Ha/atom
formation energy = 0.36 eV/atom
ρ = 9.56 g cm⁻³
M_tot = 0.00 μB per formula unit

Cell lengths 7.928, 7.928, 6.369 Å; angles 51.51, 51.51, 90.00 degrees
Sites, in units of the cell vectors:
Tl 0.610 0.125 0.250
Tl 0.140 0.625 0.250
Tl 0.375 0.390 0.750
Tl 0.875 0.860 0.750
As 0.000 0.000 0.000
As 0.750 0.250 0.500
Cu 0.500 0.500 0.000
Cu 0.250 0.750 0.500

PrP3Ru4: relaxed, PBE.

Computed properties:
energy = -0.2953 Ha/atom
formation energy = -0.77 eV/atom
ρ = 8.31 g cm⁻³
M_tot = 0.00 μB per formula unit

Cell lengths 4.033, 4.033, 7.841 Å; angles 90.00, 90.00, 90.00 degrees
Sites, in units of the cell vectors:
Pr 0.000 0.000 0.500
P 0.000 0.000 0.000
P 0.500 0.500 0.321
P 0.500 0.500 0.679
Ru 0.500 0.000 0.178
Ru 0.000 0.500 0.178
Ru 0.500 0.000 0.822
Ru 0.000 0.500 0.822

TbPbI: relaxed, PBE.

Computed properties:
energy = -0.1405 Ha/atom
ρ = 7.30 g cm⁻³
M_tot = 0.00 μB per formula unit
raw formation energy = -0.526 eV/atom

Cell lengths 3.863, 7.673, 8.051 Å; angles 109.91, 90.00, 90.00 degrees
Sites, in units of the cell vectors:
Tb 0.822 0.062 0.851
Tb 0.322 0.062 0.351
Pb 0.822 0.357 0.248
Pb 0.822 0.768 0.454
I 0.322 0.311 0.739
I 0.322 0.814 0.962

ZnCoPt: relaxed, PBE.

Computed properties:
energy = -0.1827 Ha/atom
formation energy = -0.17 eV/atom
ρ = 13.01 g cm⁻³
M_tot = 1.84 μB per formula unit

Cell lengths 5.704, 5.704, 2.758 Å; angles 76.01, 76.01, 27.98 degrees
Last column: magnetic moment on the atom in μB.
Sites, in units of the cell vectors:
Co 0.000 0.000 0.000  1.65
Pt 0.339 0.339 0.661  0.27
Zn 0.661 0.661 0.339  -0.04

Pm2PuReN4: relaxed, PBE.

Computed properties:
energy = -0.3494 Ha/atom
ρ = 10.38 g cm⁻³
M_tot = 5.10 μB per formula unit
raw formation energy = -0.809 eV/atom

Cell lengths 3.462, 6.205, 12.039 Å; angles 90.00, 90.00, 106.20 degrees
Last column: magnetic moment on the atom in μB.
Sites, in units of the cell vectors:
Pm 0.368 0.736 0.539  0.01
Pm 0.632 0.264 0.039  0.01
Pm 0.632 0.264 0.461  0.01
Pm 0.368 0.736 0.961  0.01
Pu 0.121 0.242 0.750  5.08
Pu 0.879 0.758 0.250  5.08
Re 0.854 0.709 0.750  0.01
Re 0.146 0.291 0.250  0.01
N 0.270 0.540 0.137  -0.07
N 0.730 0.460 0.637  -0.07
N 0.730 0.460 0.863  -0.07
N 0.270 0.540 0.363  -0.07
N 0.000 0.000 0.500  -0.03
N 0.000 0.000 0.000  -0.03
N 0.436 0.872 0.750  -0.03
N 0.564 0.128 0.250  -0.03

Tm2PaRuO8: relaxed, PBE.

Computed properties:
energy = -0.3091 Ha/atom
ρ = 7.97 g cm⁻³
M_tot = 3.01 μB per formula unit
raw formation energy = -2.795 eV/atom

Cell lengths 4.977, 4.978, 6.715 Å; angles 90.00, 90.00, 91.37 degrees
Last column: magnetic moment on the atom in μB.
Sites, in units of the cell vectors:
Tm 0.500 0.500 0.760  0.06
Tm 0.500 0.500 0.240  0.06
Pa 0.000 0.000 0.500  0.06
Ru 0.000 0.000 0.000  1.93
O 0.183 0.816 0.230  0.09
O 0.718 0.719 0.000  0.17
O 0.817 0.184 0.230  0.09
O 0.817 0.184 0.770  0.09
O 0.282 0.281 0.000  0.17
O 0.183 0.816 0.770  0.09
O 0.697 0.697 0.500  0.01
O 0.303 0.303 0.500  0.01

LiNbTe3: relaxed, PBE.

Computed properties:
energy = -0.1331 Ha/atom
ρ = 6.61 g cm⁻³
M_tot = 0.00 μB per formula unit
raw formation energy = 0.661 eV/atom

Cell lengths 4.949, 4.949, 4.949 Å; angles 90.00, 90.00, 90.00 degrees
Sites, in units of the cell vectors:
Nb 0.500 0.500 0.500
Te 0.000 0.500 0.000
Te 0.000 0.000 0.500
Te 0.500 0.000 0.000
Li 0.000 0.000 0.000

KInSbI2: relaxed, PBE.

Computed properties:
energy = -0.0784 Ha/atom
ρ = 3.14 g cm⁻³
M_tot = 3.00 μB per formula unit
raw formation energy = 0.077 eV/atom

Cell lengths 6.563, 6.563, 6.502 Å; angles 90.00, 90.00, 90.00 degrees
Last column: magnetic moment on the atom in μB.
Sites, in units of the cell vectors:
I 0.000 0.500 0.000  0.10
I 0.500 0.000 0.000  0.10
Sb 0.000 0.000 0.500  0.99
K 0.000 0.000 0.000  0.03
In 0.500 0.500 0.500  0.01

Cs3Tl2Hg4: relaxed, PBE.

Computed properties:
energy = -0.0417 Ha/atom
formation energy = -0.19 eV/atom
ρ = 6.87 g cm⁻³
M_tot = 0.00 μB per formula unit

Cell lengths 5.312, 7.379, 10.918 Å; angles 101.91, 90.00, 111.10 degrees
Sites, in units of the cell vectors:
Cs 0.381 0.763 0.621
Cs 0.000 0.000 0.000
Cs 0.619 0.237 0.379
Tl 0.313 0.625 0.219
Tl 0.687 0.375 0.781
Hg 0.721 0.443 0.077
Hg 0.093 0.186 0.640
Hg 0.907 0.814 0.360
Hg 0.279 0.557 0.923

La6Pr4Nd: relaxed, PBE.

Computed properties:
energy = -0.1700 Ha/atom
formation energy = 0.23 eV/atom
ρ = 6.38 g cm⁻³
M_tot = 0.00 μB per formula unit

Cell lengths 9.760, 9.760, 9.760 Å; angles 59.86, 138.68, 138.68 degrees
Sites, in units of the cell vectors:
La 0.000 0.776 0.458
La 0.000 0.458 0.776
La 0.318 0.542 0.542
La 0.500 0.500 0.000
La 0.682 0.224 0.224
La 0.500 0.000 0.500
Pr 0.000 0.633 0.997
Pr 0.364 0.367 0.367
Pr 0.000 0.997 0.633
Pr 0.636 0.003 0.003
Nd 0.000 0.000 0.000

KCoBr: relaxed, PBE.

Computed properties:
energy = -0.1126 Ha/atom
ρ = 2.85 g cm⁻³
M_tot = 1.09 μB per formula unit
raw formation energy = 0.227 eV/atom

Cell lengths 7.105, 6.289, 4.555 Å; angles 80.13, 60.70, 39.17 degrees
Last column: magnetic moment on the atom in μB.
Sites, in units of the cell vectors:
Br 0.940 0.940 0.060  0.00
Co 0.392 0.392 0.608  1.25
K 0.668 0.668 0.332  -0.01

TbEr2ThS4: relaxed, PBE.

Computed properties:
energy = -0.2439 Ha/atom
ρ = 8.28 g cm⁻³
M_tot = 0.00 μB per formula unit
raw formation energy = -1.926 eV/atom

Cell lengths 3.890, 6.863, 6.787 Å; angles 70.95, 90.00, 90.00 degrees
Sites, in units of the cell vectors:
Tb 0.000 0.500 0.500
Er 0.000 0.000 0.000
Er 0.500 0.000 0.500
Th 0.500 0.500 0.000
S 0.000 0.764 0.740
S 0.000 0.236 0.260
S 0.500 0.760 0.251
S 0.500 0.240 0.749

LiEr2BPt6: relaxed, PBE.

Computed properties:
energy = -0.2302 Ha/atom
formation energy = -0.87 eV/atom
ρ = 14.60 g cm⁻³
M_tot = 0.00 μB per formula unit

Cell lengths 5.567, 7.207, 7.207 Å; angles 45.44, 67.28, 90.00 degrees
Sites, in units of the cell vectors:
Li 0.000 0.000 0.000
Er 0.708 0.292 0.585
Er 0.292 0.708 0.415
B 0.500 0.500 0.000
Pt 0.261 0.227 0.479
Pt 0.773 0.739 0.967
Pt 0.261 0.739 0.966
Pt 0.739 0.261 0.034
Pt 0.227 0.261 0.033
Pt 0.739 0.773 0.521

Cu3PRu: relaxed, PBE.

Computed properties:
energy = -0.1742 Ha/atom
formation energy = 0.65 eV/atom
ρ = 7.02 g cm⁻³
M_tot = 1.99 μB per formula unit

Cell lengths 4.242, 4.242, 4.242 Å; angles 90.00, 90.00, 90.00 degrees
Last column: magnetic moment on the atom in μB.
Sites, in units of the cell vectors:
Ru 0.500 0.500 0.500  1.82
Cu 0.000 0.500 0.000  0.02
Cu 0.000 0.000 0.500  0.03
Cu 0.500 0.000 0.000  0.03
P 0.000 0.000 0.000  0.07

Tb2Pm6Er: relaxed, PBE.

Computed properties:
energy = -0.1680 Ha/atom
formation energy = 0.13 eV/atom
ρ = 7.43 g cm⁻³
M_tot = 0.00 μB per formula unit

Cell lengths 3.649, 10.009, 10.009 Å; angles 55.97, 90.00, 90.00 degrees
Sites, in units of the cell vectors:
Tb 0.500 0.177 0.177
Tb 0.500 0.823 0.823
Pm 0.000 0.511 0.159
Pm 0.000 0.841 0.489
Pm 0.000 0.489 0.841
Pm 0.500 0.685 0.315
Pm 0.000 0.159 0.511
Pm 0.500 0.315 0.685
Er 0.000 0.000 0.000

Te2IrPt: relaxed, PBE.

Computed properties:
energy = -0.1949 Ha/atom
ρ = 11.45 g cm⁻³
M_tot = 0.00 μB per formula unit
raw formation energy = -0.007 eV/atom

Cell lengths 3.616, 3.616, 7.126 Å; angles 90.00, 90.00, 90.00 degrees
Sites, in units of the cell vectors:
Ir 0.000 0.000 0.515
Pt 0.500 0.500 0.738
Te 0.000 0.000 0.884
Te 0.500 0.500 0.364

Ta2PtBr: relaxed, PBE.

Computed properties:
energy = -0.2910 Ha/atom
ρ = 12.76 g cm⁻³
M_tot = 0.00 μB per formula unit
raw formation energy = -0.064 eV/atom

Cell lengths 9.150, 9.150, 9.150 Å; angles 20.58, 20.58, 20.58 degrees
Sites, in units of the cell vectors:
Br 0.515 0.515 0.515
Pt 0.733 0.733 0.733
Ta 0.999 0.999 0.999
Ta 0.253 0.253 0.253

Nd5ZnIn4: relaxed, PBE.

Computed properties:
energy = -0.1494 Ha/atom
formation energy = -0.46 eV/atom
ρ = 7.30 g cm⁻³
M_tot = 0.00 μB per formula unit

Cell lengths 3.735, 3.735, 20.320 Å; angles 90.00, 90.00, 90.00 degrees
Sites, in units of the cell vectors:
Nd 0.500 0.500 0.088
Nd 0.500 0.500 0.293
Nd 0.500 0.500 0.500
Nd 0.500 0.500 0.707
Nd 0.500 0.500 0.912
Zn 0.000 0.000 0.000
In 0.000 0.000 0.189
In 0.000 0.000 0.396
In 0.000 0.000 0.604
In 0.000 0.000 0.811